Rb2NiTeSe4 | Alexandria | GGA-PBE | relaxed; spin magnetization = 0.001 Bohr magnetons per cell; E = -3.5513 eV per atom; DOS at the Fermi energy = 0.526 states/eV per atom; SG = Fddd; uncorrected formation energy = -0.45 eV per atom
1.0
5.2149 0.0000 0.0000
2.6074 8.1372 0.0000
2.6074 0.0000 11.4329
Se Ni Rb Te
8 2 4 2
direct
0.8825 0.7953 0.8583 Se
0.4278 0.7047 0.3583 Se
0.4908 0.2953 0.6417 Se
0.5362 0.2047 0.1417 Se
0.3222 0.7953 0.1417 Se
0.2592 0.2047 0.8583 Se
0.8675 0.7047 0.6417 Se
0.2138 0.2953 0.3583 Se
0.5000 0.0000 0.0000 Ni
0.2500 0.5000 0.5000 Ni
0.5650 0.5000 0.8701 Rb
0.8150 0.0000 0.3701 Rb
0.1850 0.0000 0.6299 Rb
0.9350 0.5000 0.1299 Rb
0.7500 0.5000 0.5000 Te
0.0000 0.0000 0.0000 Te

---

Rb4Th3NiSe8 | Alexandria | GGA-PBE | relaxed; spin magnetization = 0.813 Bohr magnetons per cell; E = -5.0502 eV per atom; DOS at the Fermi energy = 0.586 states/eV per atom; SG = C2/m; uncorrected formation energy = -1.31 eV per atom
1.0
8.3580 0.0000 0.0000
0.0000 9.4557 0.5033
-4.1790 -4.3623 6.2307
Rb Th Se Ni
4 3 8 1
direct
0.5000 0.0000 0.5000 Rb
0.5000 0.0000 0.0000 Rb
0.0000 0.0000 0.0000 Rb
0.0000 0.0000 0.5000 Rb
0.0000 0.5000 0.5000 Th
0.5000 0.5000 0.5000 Th
0.5000 0.5000 0.0000 Th
0.7501 0.2872 0.5002 Se
0.2686 0.2940 0.5372 Se
0.7314 0.7060 0.4628 Se
0.2112 0.6810 0.9588 Se
0.2499 0.7128 0.4998 Se
0.2524 0.3190 0.0412 Se
0.7888 0.3190 0.0412 Se
0.7476 0.6810 0.9588 Se
0.0000 0.5000 0.0000 Ni

---

RbU2Ni2Se6 | Alexandria | GGA-PBE | relaxed; spin magnetization = 0.965 Bohr magnetons per cell; E = -5.8798 eV per atom; DOS at the Fermi energy = 1.044 states/eV per atom; SG = P-1; uncorrected formation energy = -0.79 eV per atom
1.0
-2.7654 1.5518 6.6916
-7.2140 1.9330 0.7464
2.5798 -6.9907 2.5076
Se Ni U Rb
6 2 2 1
direct
0.4132 0.7812 0.0248 Se
0.8034 0.1913 0.4363 Se
0.5868 0.2188 0.9752 Se
0.1966 0.8087 0.5637 Se
0.0131 0.5717 0.8210 Se
0.9869 0.4283 0.1790 Se
0.1599 0.7895 0.8447 Ni
0.8401 0.2105 0.1553 Ni
0.1599 0.6779 0.1676 U
0.8401 0.3221 0.8324 U
0.5000 0.0000 0.5000 Rb

---

Rb2UNiSe5 | Alexandria | GGA-PBE | relaxed; spin magnetization = 1.392 Bohr magnetons per cell; E = -4.9339 eV per atom; DOS at the Fermi energy = 0.559 states/eV per atom; SG = Cmc2_1; uncorrected formation energy = -0.89 eV per atom
1.0
-3.9163 -1.1605 0.6279
1.6061 -3.4524 -9.9631
4.5344 -12.5536 5.0809
Ni Rb Se U
2 4 10 2
direct
0.5972 0.1944 0.9136 Ni
0.4028 0.8056 0.4136 Ni
0.8696 0.7392 0.2022 Rb
0.1304 0.2608 0.7022 Rb
0.1200 0.2400 0.3346 Rb
0.8800 0.7600 0.8346 Rb
0.3082 0.6165 0.6483 Se
0.5139 0.0278 0.8153 Se
0.6707 0.3414 0.5191 Se
0.9253 0.8505 0.4829 Se
0.7086 0.4173 0.8887 Se
0.0747 0.1495 0.9829 Se
0.3293 0.6586 0.0191 Se
0.6918 0.3835 0.1483 Se
0.2914 0.5827 0.3887 Se
0.4861 0.9722 0.3153 Se
0.7950 0.5901 0.5192 U
0.2050 0.4099 0.0192 U

---

Rb2UNi2Se4 | Alexandria | GGA-PBE | relaxed; spin magnetization = 0.522 Bohr magnetons per cell; E = -5.2095 eV per atom; DOS at the Fermi energy = 0.730 states/eV per atom; SG = C2/m; uncorrected formation energy = -0.91 eV per atom
1.0
-0.8645 -3.9054 0.1956
6.5759 -1.6879 -4.6380
2.4861 1.8486 6.9008
Rb Se U Ni
2 4 1 2
direct
0.8626 0.4378 0.7252 Rb
0.1374 0.5622 0.2748 Rb
0.1987 0.1595 0.3973 Se
0.4782 0.2277 0.9564 Se
0.8013 0.8405 0.6027 Se
0.5218 0.7723 0.0436 Se
0.0000 0.0000 0.0000 U
0.6795 0.9886 0.3590 Ni
0.3205 0.0114 0.6410 Ni

---

RbY2NiSe | Alexandria | GGA-PBE | relaxed; spin magnetization = 0.000 Bohr magnetons per cell; E = -3.0771 eV per atom; DOS at the Fermi energy = 1.414 states/eV per atom; SG = P4/mmm; uncorrected formation energy = 1.56 eV per atom
1.0
5.5927 0.0000 0.0000
0.0000 5.4530 0.0000
0.0000 0.0000 5.5927
Y Ni Se Rb
2 1 1 1
direct
0.0000 0.0000 0.5000 Y
0.5000 0.0000 0.0000 Y
0.5000 0.5000 0.5000 Ni
0.0000 0.5000 0.0000 Se
0.0000 0.0000 0.0000 Rb

---

Rb4Zr3NiSe8 | Alexandria | GGA-PBE | relaxed; spin magnetization = 1.294 Bohr magnetons per cell; E = -5.0691 eV per atom; DOS at the Fermi energy = 0.576 states/eV per atom; SG = C2/m; uncorrected formation energy = -1.12 eV per atom
1.0
-0.6390 4.5172 -6.5213
-5.9368 -6.0250 -3.5917
-1.9780 2.9868 7.1192
Rb Se Zr Ni
4 8 3 1
direct
0.0000 0.0000 0.0000 Rb
0.5000 0.0000 0.0000 Rb
0.0000 0.0000 0.5000 Rb
0.5000 0.0000 0.5000 Rb
0.7755 0.3166 0.0410 Se
0.2684 0.3050 0.5367 Se
0.2248 0.6835 0.4496 Se
0.7345 0.6834 0.9590 Se
0.7316 0.6950 0.4633 Se
0.2245 0.6834 0.9590 Se
0.2655 0.3166 0.0410 Se
0.7752 0.3165 0.5504 Se
0.5000 0.5000 0.0000 Zr
0.0000 0.5000 0.5000 Zr
0.5000 0.5000 0.5000 Zr
0.0000 0.5000 0.0000 Ni

---

Rb3Zr2NiSe6 | Alexandria | GGA-PBE | relaxed; spin magnetization = 1.008 Bohr magnetons per cell; E = -4.9502 eV per atom; DOS at the Fermi energy = 0.502 states/eV per atom; SG = C2/m; uncorrected formation energy = -1.06 eV per atom
1.0
6.9216 0.0006 -0.0012
-3.4586 5.9956 -0.0012
-1.1563 -2.0021 7.8953
Se Ni Rb Zr
6 1 3 2
direct
0.7334 0.7334 0.1845 Se
0.0610 0.3883 0.1833 Se
0.3883 0.0610 0.1833 Se
0.2666 0.2666 0.8155 Se
0.6117 0.9390 0.8167 Se
0.9390 0.6117 0.8167 Se
0.0000 0.0000 0.0000 Ni
0.5000 0.5000 0.5000 Rb
0.8327 0.1673 0.5000 Rb
0.1673 0.8327 0.5000 Rb
0.3336 0.6664 0.0000 Zr
0.6664 0.3336 0.0000 Zr